(1)
VASP calculation (GGA-PBE) on crystalline NiOsRu2 at its relaxed geometry.

ΔH_f (0 K)   349 meV per atom
VASP energy   -0.628 Ry per atom
N(E_F)   8.55 states/eV per cell
Calculated volume   107.3 Å³/cell

abc: 2.8087 4.3169 8.8458
angles: 90.00 90.00 90.00
With the nearest neighbours (Å) after each atom.
Space group Immm (No. 71)
Symmetry-distinct sites (fractional):
Ni 0.0000 0.0000 0.0000 x2  4 Ru 2.45, 4 Os 2.58
Os 0.0000 0.0000 0.5000 x2  4 Ni 2.58, 4 Ru 2.80, 2 Os 2.81
Ru 0.0000 0.5000 0.2733 x4  2 Ni 2.45, 4 Ru 2.61



(2)
VASP calculation (GGA-PBE) on crystalline Zn4As3 at its relaxed geometry.

ΔH_f (0 K)   27 meV per atom
VASP energy   -0.198 Ry per atom
N(E_F)   3.67 states/eV per cell
Calculated volume   277.0 Å³/cell

abc: 11.9897 4.1032 6.7827
angles: 90.00 123.89 90.00
With the nearest neighbours (Å) after each atom.
Space group C2/m (No. 12)
Symmetry-distinct sites (fractional):
Zn 0.0913 0.0000 0.2382 x4  3 As 2.51-2.55, 1 Zn 2.71
Zn 0.1437 0.5000 0.7802 x4  5 As 2.50-2.76
As 0.0000 0.0000 0.5000 x2  6 Zn 2.55-2.67
As 0.1942 0.5000 0.1909 x4  5 Zn 2.50-2.76



(3)
VASP calculation (GGA-PBE) on crystalline TbLuCuIr at its relaxed geometry.

ΔH_f (0 K)   -623 meV per atom
VASP energy   -0.452 Ry per atom
N(E_F)   11.52 states/eV per cell
Calculated volume   319.3 Å³/cell

abc: 6.8348 6.8348 6.8348
angles: 90.00 90.00 90.00
With the nearest neighbours (Å) after each atom.
Space group F-43m (No. 216)
Symmetry-distinct sites (fractional):
Tb 0.0000 0.0000 0.0000 x4  4 Cu 2.96, 4 Ir 2.96
Lu 0.0000 0.0000 0.5000 x4  4 Ir 2.96, 4 Cu 2.96
Cu 0.2500 0.2500 0.7500 x4  4 Tb 2.96, 4 Lu 2.96
Ir 0.2500 0.2500 0.2500 x4  4 Tb 2.96, 4 Lu 2.96



(4)
VASP calculation (GGA-PBE) on crystalline SmTm3Ir2 at its relaxed geometry.

ΔH_f (0 K)   -615 meV per atom
VASP energy   -0.484 Ry per atom
N(E_F)   14.28 states/eV per cell
Calculated volume   578.4 Å³/cell

abc: 14.4345 5.0134 8.0529
angles: 90.00 97.04 90.00
With the nearest neighbours (Å) after each atom.
Space group C2/m (No. 12)
Symmetry-distinct sites (fractional):
Sm 0.1547 0.0000 0.2975 x4  5 Ir 2.94-3.17, 1 Tm 3.27
Tm 0.0704 0.0000 0.8230 x4  3 Ir 2.78-2.84
Tm 0.1149 0.5000 0.5610 x4  5 Ir 2.85-3.03
Tm 0.1752 0.5000 0.0151 x4  2 Ir 2.85-2.87
Ir 0.0223 0.5000 0.2127 x4  5 Tm 2.84-2.96, 2 Sm 3.17
Ir 0.2277 0.0000 0.6552 x4  5 Tm 2.78-3.03, 3 Sm 2.94-3.03